--- P ---
A relaxed MgZn8Cu4 crystal. Source: Alexandria, functional PBE.

- Total magnetic moment: 0.00 μB per formula unit
- Space group: I4/mmm, No. 139

Cell: 6.6312 6.6312 6.6312 Å, 98.12 98.12 135.86°
With the nearest neighbours (Å) after each atom.
Positions (direct):
Zn 0.0000 0.3432 0.3432  4 Cu 2.63, 5 Zn 2.72-2.82
Zn 0.6568 0.0000 0.6568  4 Cu 2.63, 5 Zn 2.72-2.82
Zn 0.0000 0.6568 0.6568  4 Cu 2.63, 5 Zn 2.72-2.82
Zn 0.3432 0.0000 0.3432  4 Cu 2.63, 5 Zn 2.72-2.82
Zn 0.5000 0.7155 0.2155  4 Cu 2.52, 6 Zn 2.65-2.82
Zn 0.7155 0.5000 0.2155  4 Cu 2.52, 6 Zn 2.65-2.82
Zn 0.2845 0.5000 0.7845  4 Cu 2.52, 6 Zn 2.65-2.82
Zn 0.5000 0.2845 0.7845  4 Cu 2.52, 6 Zn 2.65-2.82
Cu 0.0000 0.5000 0.0000  2 Cu 2.49, 8 Zn 2.52-2.63
Cu 0.5000 0.0000 0.0000  2 Cu 2.49, 8 Zn 2.52-2.63
Cu 0.0000 0.0000 0.5000  2 Cu 2.49, 8 Zn 2.52-2.63
Cu 0.5000 0.5000 0.5000  2 Cu 2.49, 8 Zn 2.52-2.63
Mg 0.0000 0.0000 0.0000  12 Zn 2.98-3.12, 8 Cu 3.32

=====

--- Q ---
A relaxed MgZn8Cu4 crystal. Source: Alexandria, functional PBE.

- Total magnetic moment: 0.00 μB per formula unit
- Space group: I4/m, No. 87

Cell: 7.2586 7.2586 7.2586 Å, 93.73 93.73 150.46°
With the nearest neighbours (Å) after each atom.
Positions (direct):
Zn 0.0751 0.6197 0.6948  3 Cu 2.62-2.74, 9 Zn 2.71-2.81
Zn 0.1547 0.2290 0.3837  5 Cu 2.68-2.74, 6 Zn 2.68-2.73, 1 Mg 2.74
Zn 0.3803 0.0751 0.4554  3 Cu 2.62-2.74, 9 Zn 2.71-2.81
Zn 0.8453 0.7710 0.6163  5 Cu 2.68-2.74, 6 Zn 2.68-2.73, 1 Mg 2.74
Zn 0.7710 0.1547 0.9257  5 Cu 2.68-2.74, 6 Zn 2.68-2.73, 1 Mg 2.74
Zn 0.9249 0.3803 0.3052  3 Cu 2.62-2.74, 9 Zn 2.71-2.81
Zn 0.6197 0.9249 0.5446  3 Cu 2.62-2.74, 9 Zn 2.71-2.81
Zn 0.2290 0.8453 0.0743  5 Cu 2.68-2.74, 6 Zn 2.68-2.73, 1 Mg 2.74
Mg 0.0000 0.0000 0.0000  8 Cu 2.72, 4 Zn 2.74
Cu 0.3022 0.4626 0.7648  8 Zn 2.62-2.74, 2 Mg 2.72, 2 Cu 2.83
Cu 0.6978 0.5374 0.2352  8 Zn 2.62-2.74, 2 Mg 2.72, 2 Cu 2.83
Cu 0.5374 0.3022 0.8396  8 Zn 2.62-2.74, 2 Mg 2.72, 2 Cu 2.83
Cu 0.4626 0.6978 0.1604  8 Zn 2.62-2.74, 2 Mg 2.72, 2 Cu 2.83

=====

Quick one: most stable of them? P

=====

--- P ---
A relaxed Mg6ZnCu crystal. Source: Alexandria, functional PBE.

- Total magnetic moment: 0.00 μB per formula unit
- Space group: Amm2, No. 38

Cell: 6.0327 6.0327 4.9339 Å, 90.00 90.00 118.72°
With the nearest neighbours (Å) after each atom.
Positions (direct):
Mg 0.8349 0.6585 0.0000  8 Mg 2.93-3.11, 2 Cu 3.01, 2 Zn 3.03
Mg 0.6649 0.8356 0.5000  2 Cu 2.99-3.04, 2 Zn 3.00-3.04, 8 Mg 3.03-3.08
Mg 0.8294 0.1706 0.0000  10 Mg 2.93-3.11, 2 Cu 2.99
Mg 0.3415 0.1651 0.0000  8 Mg 2.93-3.11, 2 Cu 3.01, 2 Zn 3.03
Mg 0.3308 0.6692 0.0000  10 Mg 2.96-3.07, 2 Zn 3.00
Mg 0.1644 0.3351 0.5000  2 Cu 2.99-3.04, 2 Zn 3.00-3.04, 8 Mg 3.03-3.08
Zn 0.1669 0.8331 0.5000  10 Mg 3.00-3.04, 2 Cu 3.07
Cu 0.6672 0.3328 0.5000  10 Mg 2.99-3.04, 2 Zn 3.07

=====

--- Q ---
A relaxed Mg6ZnCu crystal. Source: Alexandria, functional PBE.

- Total magnetic moment: 0.00 μB per formula unit
- Space group: I4/mmm, No. 139

Cell: 4.5159 4.5159 8.4003 Å, 74.41 74.41 90.00°
With the nearest neighbours (Å) after each atom.
Positions (direct):
Mg 0.6050 0.1050 0.7900  2 Cu 2.79, 2 Zn 2.79
Mg 0.8950 0.3950 0.2100  2 Zn 2.79, 2 Cu 2.79
Mg 0.1050 0.6050 0.7900  2 Zn 2.79, 2 Cu 2.79
Mg 0.3950 0.8950 0.2100  2 Cu 2.79, 2 Zn 2.79
Mg 0.7501 0.7501 0.4999  12 Mg 3.19
Mg 0.2499 0.2499 0.5001  12 Mg 3.19
Cu 0.0000 0.0000 0.0000  8 Mg 2.79
Zn 0.5000 0.5000 0.0000  8 Mg 2.79

=====

Quick one: most stable of them? Q

=====

--- P ---
A relaxed Mg3Zn2Cu2 crystal. Source: Alexandria, functional PBE.

- Total magnetic moment: 0.00 μB per formula unit
- Space group: Cmmm, No. 65

Cell: 11.3450 11.3450 2.9566 Å, 90.00 90.00 161.00°
With the nearest neighbours (Å) after each atom.
Positions (direct):
Cu 0.7147 0.2853 0.5000  2 Cu 2.45, 4 Zn 2.52, 1 Mg 2.71
Cu 0.2853 0.7147 0.5000  2 Cu 2.45, 4 Zn 2.52, 1 Mg 2.71
Zn 0.1783 0.8217 0.0000  6 Cu 2.52-2.81
Zn 0.8217 0.1783 0.0000  6 Cu 2.52-2.81
Mg 0.4062 0.5938 0.5000  1 Cu 2.71, 2 Mg 2.96
Mg 0.5938 0.4062 0.5000  1 Cu 2.71, 2 Mg 2.96
Mg 0.0000 0.0000 0.0000  10 Mg 2.96-3.18

=====

--- Q ---
A relaxed Mg3Zn2Cu2 crystal. Source: Alexandria, functional PBE.

- Total magnetic moment: 0.00 μB per formula unit
- Space group: C2/m, No. 12

Cell: 6.6494 6.6494 12.7941 Å, 59.74 59.74 29.12°
With the nearest neighbours (Å) after each atom.
Positions (direct):
Zn 0.5952 0.5952 0.3123  2 Cu 2.65, 4 Mg 2.75-2.81, 2 Zn 2.87
Zn 0.9222 0.9222 0.2967  4 Cu 2.63-2.65, 4 Mg 2.85-2.91, 2 Zn 2.87
Zn 0.0778 0.0778 0.7033  4 Cu 2.63-2.65, 4 Mg 2.85-2.91, 2 Zn 2.87
Zn 0.4048 0.4048 0.6877  2 Cu 2.65, 4 Mg 2.75-2.81, 2 Zn 2.87
Cu 0.2638 0.2638 0.2939  4 Zn 2.65, 4 Mg 2.71-2.77, 1 Cu 2.92
Cu 0.5236 0.5236 0.1114  6 Mg 2.62-2.84, 2 Zn 2.63, 1 Cu 2.92
Cu 0.7362 0.7362 0.7061  4 Zn 2.65, 4 Mg 2.71-2.77, 1 Cu 2.92
Cu 0.4764 0.4764 0.8886  6 Mg 2.62-2.84, 2 Zn 2.63, 1 Cu 2.92
Mg 0.6496 0.6496 0.4957  2 Cu 2.77, 5 Zn 2.78-3.08
Mg 0.8729 0.8729 0.0989  6 Cu 2.63-2.84, 1 Zn 2.91, 3 Mg 2.91-2.93
Mg 0.3504 0.3504 0.5043  2 Cu 2.77, 5 Zn 2.78-3.08
Mg 0.1271 0.1271 0.9011  6 Cu 2.63-2.84, 1 Zn 2.91, 3 Mg 2.91-2.93
Mg 0.8210 0.8210 0.8865  2 Cu 2.62, 3 Zn 2.75-2.89, 2 Mg 2.93
Mg 0.1790 0.1790 0.1135  2 Cu 2.62, 3 Zn 2.75-2.89, 2 Mg 2.93

=====

--- R ---
A relaxed Mg3Zn2Cu2 crystal. Source: Alexandria, functional PBE.

- Total magnetic moment: 0.00 μB per formula unit
- Space group: C2/m, No. 12

Cell: 6.8050 6.8050 10.1346 Å, 58.05 58.05 37.44°
With the nearest neighbours (Å) after each atom.
Positions (direct):
Mg 0.7949 0.7949 0.8955  3 Cu 2.53-2.75, 1 Zn 2.64, 2 Mg 2.80
Mg 0.8533 0.8533 0.1594  2 Cu 2.61-2.76
Mg 0.1467 0.1467 0.8406  2 Cu 2.61-2.76
Mg 0.3410 0.3410 0.4514  3 Cu 2.65-2.77, 3 Zn 2.77-2.91, 2 Mg 2.94
Mg 0.6590 0.6590 0.5486  3 Cu 2.65-2.77, 3 Zn 2.77-2.91, 2 Mg 2.94
Mg 0.2051 0.2051 0.1045  3 Cu 2.53-2.75, 1 Zn 2.64, 2 Mg 2.80
Zn 0.4728 0.4728 0.8910  3 Cu 2.56-2.75, 1 Zn 2.66, 1 Mg 2.87
Zn 0.8743 0.8743 0.5926  4 Cu 2.47-2.74, 1 Mg 2.64, 1 Zn 2.69
Zn 0.1257 0.1257 0.4074  4 Cu 2.47-2.74, 1 Mg 2.64, 1 Zn 2.69
Zn 0.5272 0.5272 0.1090  3 Cu 2.56-2.75, 1 Zn 2.66, 1 Mg 2.87
Cu 0.0295 0.0295 0.6977  4 Zn 2.47-2.75, 4 Mg 2.53-2.65, 2 Cu 2.73
Cu 0.4018 0.4018 0.6998  3 Zn 2.55-2.56, 2 Cu 2.73, 4 Mg 2.75-2.77
Cu 0.9705 0.9705 0.3023  4 Zn 2.47-2.75, 4 Mg 2.53-2.65, 2 Cu 2.73
Cu 0.5982 0.5982 0.3002  3 Zn 2.55-2.56, 2 Cu 2.73, 4 Mg 2.75-2.77

=====

Quick one: most stable of them? R